The following is a DFT calculation (PBE) of Nd2ZnNi2Rh5 after structural relaxation.

Cell lengths 9.275, 9.275, 3.878 Å; angles 90.00, 90.00, 90.00 degrees
Space group P4/mbm (No. 127)
Symmetry-distinct sites (fractional):
Nd (0.177, 0.323, 0.000) (multiplicity 4)
Zn (0.000, 0.000, 0.000) (multiplicity 2)
Ni (0.121, 0.621, 0.000) (multiplicity 4)
Rh (0.000, 0.500, 0.500) (multiplicity 2)
Rh (0.064, 0.794, 0.500) (multiplicity 8)



The following is a DFT calculation (PBE) of Nd4NiRu3 after structural relaxation.

Cell lengths 4.232, 4.297, 10.537 Å; angles 90.00, 90.00, 90.00 degrees
Space group Pmm2 (No. 25)
Symmetry-distinct sites (fractional):
Nd (0.000, 0.000, 0.000) (multiplicity 1)
Nd (0.000, 0.500, 0.490) (multiplicity 1)
Nd (0.500, 0.000, 0.282) (multiplicity 1)
Nd (0.500, 0.500, 0.790) (multiplicity 1)
Ni (0.500, 0.500, 0.076) (multiplicity 1)
Ru (0.000, 0.000, 0.697) (multiplicity 1)
Ru (0.000, 0.500, 0.197) (multiplicity 1)
Ru (0.500, 0.000, 0.587) (multiplicity 1)



The following is a DFT calculation (PBE) of NdNiRu after structural relaxation.

Cell lengths 6.112, 5.920, 7.581 Å; angles 90.00, 122.12, 90.00 degrees
Space group P2_1/c (No. 14)
Symmetry-distinct sites (fractional):
Nd (0.208, 0.121, 0.410) (multiplicity 4)
Ni (0.378, 0.594, 0.325) (multiplicity 4)
Ru (0.199, 0.608, 0.552) (multiplicity 4)



The following is a DFT calculation (PBE) of Nd2NiRu after structural relaxation.

Cell lengths 3.477, 3.477, 7.136 Å; angles 90.00, 90.00, 90.00 degrees
Space group P4/mmm (No. 123)
Symmetry-distinct sites (fractional):
Nd (0.000, 0.000, 0.249) (multiplicity 2)
Ni (0.500, 0.500, 0.500) (multiplicity 1)
Ru (0.500, 0.500, 0.000) (multiplicity 1)



The following is a DFT calculation (PBE) of Nd2NiRu after structural relaxation.

Cell lengths 4.110, 4.076, 10.861 Å; angles 90.00, 90.00, 90.00 degrees
Space group Amm2 (No. 38)
Symmetry-distinct sites (fractional):
Nd (0.000, 0.000, 0.000) (multiplicity 2)
Nd (0.500, 0.000, 0.285) (multiplicity 2)
Ni (0.000, 0.000, 0.709) (multiplicity 2)
Ru (0.500, 0.000, 0.574) (multiplicity 2)



The following is a DFT calculation (PBE) of Nd3Ni3Ru after structural relaxation.

Cell lengths 10.625, 4.081, 14.454 Å; angles 90.00, 107.63, 90.00 degrees
Space group C2/m (No. 12)
Symmetry-distinct sites (fractional):
Nd (0.051, 0.000, 0.275) (multiplicity 4)
Nd (0.172, 0.000, 0.576) (multiplicity 4)
Nd (0.181, 0.500, 0.096) (multiplicity 4)
Ni (0.037, 0.500, 0.427) (multiplicity 4)
Ni (0.048, 0.000, 0.938) (multiplicity 4)
Ni (0.160, 0.500, 0.719) (multiplicity 4)
Ru (0.097, 0.500, 0.867) (multiplicity 4)



The following is a DFT calculation (PBE) of Nd8NiRu2 after structural relaxation.

Cell lengths 8.396, 12.840, 6.375 Å; angles 90.00, 111.08, 90.00 degrees
Space group Cm (No. 8)
Symmetry-distinct sites (fractional):
Nd (0.000, 0.000, 0.000) (multiplicity 2)
Nd (0.070, 0.368, 0.817) (multiplicity 4)
Nd (0.137, 0.133, 0.587) (multiplicity 4)
Nd (0.210, 0.500, 0.395) (multiplicity 2)
Nd (0.359, 0.202, 0.194) (multiplicity 4)
Ni (0.350, 0.000, 0.996) (multiplicity 2)
Ru (0.351, 0.311, 0.701) (multiplicity 4)



The following is a DFT calculation (PBE) of NdNiRu after structural relaxation.

Cell lengths 4.1276, 4.1276, 4.0685 Å; angles 90.00, 90.00, 120.00 degrees
Space group P-6m2 (No. 187)
Symmetry-distinct sites (fractional):
Nd (0.0000, 0.0000, 0.0000) (multiplicity 1)
Ni (0.6667, 0.3333, 0.5000) (multiplicity 1)
Ru (0.3333, 0.6667, 0.5000) (multiplicity 1)



no.,raw total energy (Ha/atom)
1,-0.232
2,-0.248
3,-0.247
4,-0.233
5,-0.235
6,-0.224
7,-0.212
8,-0.247